Below is an optimized crystal structure of Ca2CdAu6, with properties calculated at the PBE level.

Geometry as POSCAR:
```
Ca2CdAu6
1.0
5.851 0.000 0.000
0.000 5.421 -3.130
0.000 0.000 6.260
Ca Cd Au
2 1 6
direct
0.666 0.333 0.667
0.334 0.667 0.333
0.500 0.000 0.000
0.825 0.816 0.633
0.825 0.816 0.184
0.825 0.367 0.184
0.175 0.633 0.816
0.175 0.184 0.816
0.175 0.184 0.367
```

Calculated values
VASP energy (eV for the cell shown): -29.029
Fermi-level density of states (states/eV/cell): 3.6
Formation energy (meV per atom): -494
Calculated volume (A^3/atom): 22.1